# 1
Below is Ti6Co5Pd after structural relaxation, with properties calculated at the PBE level.

Cell lengths 7.336, 7.336, 7.336 Å; angles 146.57, 130.37, 61.17 degrees
Sites, in units of the cell vectors:
Ti: 0.073 0.329 0.744
Ti: 0.237 0.000 0.237
Ti: 0.415 0.671 0.744
Ti: 0.585 0.329 0.256
Ti: 0.763 0.000 0.763
Ti: 0.927 0.671 0.256
Co: 0.000 0.500 0.500
Co: 0.166 0.166 0.000
Co: 0.332 0.832 0.500
Co: 0.668 0.168 0.500
Co: 0.834 0.834 0.000
Pd: 0.500 0.500 0.000

Energy, eV per cell: -92.6
Space-group type: Immm (71)
DOS at the Fermi energy, states/eV/atom: 1.2194
ΔE_f, kJ per mole of atoms: -36.2
Volume, Å³ per atom: 13.7

# 2
Below is Ti4Co2Pd3 after structural relaxation, with properties calculated at the PBE level.

Cell lengths 4.649, 4.649, 8.389 Å; angles 99.71, 99.71, 47.60 degrees
Sites, in units of the cell vectors:
Ti: 0.034 0.034 0.331
Ti: 0.326 0.326 0.121
Ti: 0.674 0.674 0.879
Ti: 0.966 0.966 0.669
Co: 0.325 0.325 0.794
Co: 0.675 0.675 0.206
Pd: 0.000 0.000 0.000
Pd: 0.341 0.341 0.438
Pd: 0.659 0.659 0.562

Energy, eV per cell: -65.1
Space-group type: C2/m (12)
DOS at the Fermi energy, states/eV/atom: 0.9889
ΔE_f, kJ per mole of atoms: -39.7
Volume, Å³ per atom: 14.6

# 3
Below is TiCoPd after structural relaxation, with properties calculated at the PBE level.

Cell lengths 4.244, 4.244, 2.675 Å; angles 90.00, 90.00, 120.00 degrees
Sites, in units of the cell vectors:
Ti: 0.000 0.000 0.000
Co: 0.333 0.667 0.867
Pd: 0.667 0.333 0.417

Energy, eV per cell: -20.9
Space-group type: P3m1 (156)
DOS at the Fermi energy, states/eV/atom: 0.8474
Relative energy among the computed polymorphs, eV/f.u.: 0.54
ΔE_f, kJ per mole of atoms: -24.0
Volume, Å³ per atom: 13.9

# 4
Below is Ti3CoPd after structural relaxation, with properties calculated at the PBE level.

Cell lengths 5.181, 4.358, 7.170 Å; angles 90.00, 110.83, 90.00 degrees
Sites, in units of the cell vectors:
Ti: 0.020 0.250 0.240
Ti: 0.325 0.250 0.960
Ti: 0.381 0.750 0.591
Ti: 0.619 0.250 0.409
Ti: 0.675 0.750 0.040
Ti: 0.980 0.750 0.760
Co: 0.129 0.250 0.600
Co: 0.871 0.750 0.400
Pd: 0.290 0.750 0.200
Pd: 0.710 0.250 0.800

Energy, eV per cell: -75.3
Space-group type: P2_1/m (11)
DOS at the Fermi energy, states/eV/atom: 1.0688
Relative energy among the computed polymorphs, eV/f.u.: 0.00
ΔE_f, kJ per mole of atoms: -32.0
Volume, Å³ per atom: 15.1

# 5
Below is Ti5ZnCo2Pd2 after structural relaxation, with properties calculated at the PBE level.

Cell lengths 10.028, 10.028, 3.073 Å; angles 90.00, 90.00, 90.00 degrees
Sites, in units of the cell vectors:
Ti: 0.000 0.500 0.000
Ti: 0.091 0.196 0.000
Ti: 0.196 0.909 0.000
Ti: 0.304 0.409 0.000
Ti: 0.409 0.696 0.000
Ti: 0.500 0.000 0.000
Ti: 0.591 0.304 0.000
Ti: 0.696 0.591 0.000
Ti: 0.804 0.091 0.000
Ti: 0.909 0.804 0.000
Zn: 0.000 0.000 0.500
Zn: 0.500 0.500 0.500
Co: 0.131 0.369 0.500
Co: 0.369 0.869 0.500
Co: 0.631 0.131 0.500
Co: 0.869 0.631 0.500
Pd: 0.166 0.666 0.500
Pd: 0.334 0.166 0.500
Pd: 0.666 0.834 0.500
Pd: 0.834 0.334 0.500

Energy, eV per cell: -135.0
Space-group type: P4/mbm (127)
DOS at the Fermi energy, states/eV/atom: 1.1273
ΔE_f, kJ per mole of atoms: -20.8
Volume, Å³ per atom: 15.4

# 6
Below is ZrTiCoPd after structural relaxation, with properties calculated at the PBE level.

Cell lengths 3.003, 3.003, 7.022 Å; angles 90.00, 90.00, 90.00 degrees
Sites, in units of the cell vectors:
Zr: 0.000 0.000 0.000
Ti: 0.000 0.000 0.457
Co: 0.500 0.500 0.274
Pd: 0.500 0.500 0.696

Energy, eV per cell: -30.6
Space-group type: P4mm (99)
DOS at the Fermi energy, states/eV/atom: 0.8895
Relative energy among the computed polymorphs, eV/f.u.: 0.00
ΔE_f, kJ per mole of atoms: -45.1
Volume, Å³ per atom: 15.8

# 7
Below is ZrTiCoPd after structural relaxation, with properties calculated at the PBE level.

Cell lengths 4.511, 4.511, 4.511 Å; angles 60.00, 60.00, 60.00 degrees
Sites, in units of the cell vectors:
Zr: 0.000 0.000 0.000
Ti: 0.500 0.500 0.500
Co: 0.250 0.250 0.250
Pd: 0.750 0.750 0.750

Energy, eV per cell: -30.2
Space-group type: F-43m (216)
DOS at the Fermi energy, states/eV/atom: 0.7785
Relative energy among the computed polymorphs, eV/f.u.: 0.43
ΔE_f, kJ per mole of atoms: -34.6
Volume, Å³ per atom: 16.2

# 8
Below is Zr2Ti5Co2Pd after structural relaxation, with properties calculated at the PBE level.

Cell lengths 10.426, 10.426, 3.093 Å; angles 90.00, 90.00, 90.00 degrees
Sites, in units of the cell vectors:
Zr: 0.176 0.324 0.000
Zr: 0.324 0.824 0.000
Zr: 0.676 0.176 0.000
Zr: 0.824 0.676 0.000
Ti: 0.000 0.500 0.500
Ti: 0.059 0.792 0.500
Ti: 0.208 0.059 0.500
Ti: 0.292 0.559 0.500
Ti: 0.441 0.292 0.500
Ti: 0.500 0.000 0.500
Ti: 0.559 0.708 0.500
Ti: 0.708 0.441 0.500
Ti: 0.792 0.941 0.500
Ti: 0.941 0.208 0.500
Co: 0.129 0.629 0.000
Co: 0.371 0.129 0.000
Co: 0.629 0.871 0.000
Co: 0.871 0.371 0.000
Pd: 0.000 0.000 0.000
Pd: 0.500 0.500 0.000

Energy, eV per cell: -158.1
Space-group type: P4/mbm (127)
DOS at the Fermi energy, states/eV/atom: 1.1739
ΔE_f, kJ per mole of atoms: -29.7
Volume, Å³ per atom: 16.8